# AgSnIr2Cl PBE relaxed
data_AgSnIr2Cl
_cell_length_a 4.451
_cell_length_b 4.451
_cell_length_c 5.273
_cell_angle_alpha 90.00
_cell_angle_beta 90.00
_cell_angle_gamma 90.00
_symmetry_space_group_name_H-M 'P 4/m m m'
_symmetry_Int_Tables_number 123
_symmetry_space_group_name_Hall '-P 4 2'
loop_
_atom_site_label
_atom_site_type_symbol
_atom_site_fract_x
_atom_site_fract_y
_atom_site_fract_z
Ag1 Ag 0.000 0.000 0.000
Sn1 Sn 0.500 0.500 0.000
Ir1 Ir 0.000 0.500 0.500
Cl1 Cl 0.500 0.500 0.500
# - Density: 10.27 g cm⁻³
# - Formation energy (no corrections): 1239 meV/atom
# - Total magnetic moment: 0.0000 μB per atom


# SrAg2IrCl8 PBE relaxed
data_SrAg2IrCl8
_cell_length_a 6.419
_cell_length_b 7.998
_cell_length_c 6.889
_cell_angle_alpha 90.00
_cell_angle_beta 111.40
_cell_angle_gamma 90.00
_symmetry_space_group_name_H-M 'P 1 2/m 1'
_symmetry_Int_Tables_number 10
loop_
_symmetry_equiv_pos_as_xyz
'x,y,z'
'-x,-y,-z'
'-x,y,-z'
'x,-y,z'
loop_
_atom_site_label
_atom_site_type_symbol
_atom_site_fract_x
_atom_site_fract_y
_atom_site_fract_z
Sr1 Sr 0.000 0.000 0.000
Ag1 Ag 0.000 0.246 0.500
Ir1 Ir 0.000 0.500 0.000
Cl1 Cl 0.190 0.500 0.770
Cl2 Cl 0.245 0.000 0.723
Cl3 Cl 0.246 0.296 0.213
# - Density: 3.93 g cm⁻³
# - Formation energy (no corrections): -940 meV/atom
# - Total magnetic moment: 0.0000 μB per atom


# TlAgIrCl6 PBE relaxed
data_TlAgIrCl6
_cell_length_a 6.7678
_cell_length_b 6.7678
_cell_length_c 6.6850
_cell_angle_alpha 90.00
_cell_angle_beta 90.00
_cell_angle_gamma 120.00
_symmetry_space_group_name_H-M 'P 3 1 2'
_symmetry_Int_Tables_number 149
loop_
_symmetry_equiv_pos_as_xyz
'x,y,z'
'-y,x-y,z'
'-x+y,-x,z'
'-y,-x,-z'
'-x+y,y,-z'
'x,x-y,-z'
loop_
_atom_site_label
_atom_site_type_symbol
_atom_site_fract_x
_atom_site_fract_y
_atom_site_fract_z
Tl1 Tl 0.0000 0.0000 0.0000
Ag1 Ag 0.3333 0.6667 0.5000
Ir1 Ir 0.6667 0.3333 0.5000
Cl1 Cl 0.3890 0.0428 0.7009
# - Density: 4.49 g cm⁻³
# - Formation energy (no corrections): -582 meV/atom
# - Total magnetic moment: 0.1029 μB per atom


# Tl2AgIrCl6 PBE relaxed
data_Tl2AgIrCl6
_cell_length_a 7.152
_cell_length_b 10.123
_cell_length_c 7.165
_cell_angle_alpha 90.00
_cell_angle_beta 90.00
_cell_angle_gamma 90.00
_symmetry_space_group_name_H-M 'P m m n'
_symmetry_Int_Tables_number 59
loop_
_symmetry_equiv_pos_as_xyz
'x,y,z'
'-x,-y,-z'
'-x+1/2,-y+1/2,z'
'x+1/2,y+1/2,-z'
'x+1/2,-y,-z'
'-x+1/2,y,z'
'-x,y+1/2,-z'
'x,-y+1/2,z'
loop_
_atom_site_label
_atom_site_type_symbol
_atom_site_fract_x
_atom_site_fract_y
_atom_site_fract_z
Tl1 Tl 0.250 0.001 0.247
Ag1 Ag 0.250 0.250 0.747
Ir1 Ir 0.250 0.750 0.752
Cl1 Cl 0.015 0.750 0.518
Cl2 Cl 0.015 0.750 0.986
Cl3 Cl 0.250 0.516 0.754
# - Density: 5.90 g cm⁻³
# - Formation energy (no corrections): -659 meV/atom
# - Total magnetic moment: 0.0000 μB per atom


# TlAg2IrCl6 PBE relaxed
data_TlAg2IrCl6
_cell_length_a 6.8415
_cell_length_b 6.8415
_cell_length_c 20.8457
_cell_angle_alpha 90.00
_cell_angle_beta 90.00
_cell_angle_gamma 120.00
_symmetry_space_group_name_H-M 'R -3'
_symmetry_Int_Tables_number 148
_symmetry_space_group_name_Hall '-R 3'
loop_
_atom_site_label
_atom_site_type_symbol
_atom_site_fract_x
_atom_site_fract_y
_atom_site_fract_z
Tl1 Tl 0.0000 0.0000 0.0000
Ag1 Ag 0.0000 0.0000 0.1795
Ir1 Ir 0.0000 0.0000 0.5000
Cl1 Cl 0.0024 0.2857 0.5644
# - Density: 4.86 g cm⁻³
# - Formation energy (no corrections): -575 meV/atom
# - Total magnetic moment: 0.0000 μB per atom


# Y2AgIrCl PBE relaxed
data_Y2AgIrCl
_cell_length_a 5.313
_cell_length_b 5.313
_cell_length_c 5.157
_cell_angle_alpha 90.00
_cell_angle_beta 90.00
_cell_angle_gamma 90.00
_symmetry_space_group_name_H-M 'P 4/m m m'
_symmetry_Int_Tables_number 123
_symmetry_space_group_name_Hall '-P 4 2'
loop_
_atom_site_label
_atom_site_type_symbol
_atom_site_fract_x
_atom_site_fract_y
_atom_site_fract_z
Y1 Y 0.000 0.500 0.000
Ag1 Ag 0.000 0.000 0.500
Ir1 Ir 0.000 0.000 0.000
Cl1 Cl 0.500 0.500 0.500
# - Density: 5.86 g cm⁻³
# - Formation energy (no corrections): -338 meV/atom
# - Total magnetic moment: 0.0000 μB per atom


# KAg5Cl8 PBE relaxed
data_KAg5Cl8
_cell_length_a 4.204
_cell_length_b 9.124
_cell_length_c 9.807
_cell_angle_alpha 74.88
_cell_angle_beta 79.55
_cell_angle_gamma 84.64
_symmetry_space_group_name_H-M 'P 1'
_symmetry_Int_Tables_number 1
loop_
_symmetry_equiv_pos_as_xyz
'x,y,z'
loop_
_atom_site_label
_atom_site_type_symbol
_atom_site_fract_x
_atom_site_fract_y
_atom_site_fract_z
K1 K 0.000 0.000 0.000
Ag1 Ag 0.047 0.442 0.699
Ag2 Ag 0.216 0.829 0.584
Ag3 Ag 0.498 0.500 0.002
Ag4 Ag 0.780 0.171 0.420
Ag5 Ag 0.951 0.558 0.304
Cl1 Cl 0.133 0.656 0.835
Cl2 Cl 0.261 0.004 0.332
Cl3 Cl 0.285 0.342 0.481
Cl4 Cl 0.462 0.713 0.134
Cl5 Cl 0.536 0.288 0.870
Cl6 Cl 0.712 0.658 0.522
Cl7 Cl 0.735 0.996 0.672
Cl8 Cl 0.864 0.345 0.169
# - Density: 4.01 g cm⁻³
# - Formation energy (no corrections): -608 meV/atom
# - Energy relative to the lowest polymorph listed for this composition: 0.00 eV/f.u.
# - Total magnetic moment: 0.0000 μB per atom


# K3AgCl6 PBE relaxed
data_K3AgCl6
_cell_length_a 12.0005
_cell_length_b 12.0005
_cell_length_c 15.2329
_cell_angle_alpha 90.00
_cell_angle_beta 90.00
_cell_angle_gamma 120.00
_symmetry_space_group_name_H-M 'R -3 c'
_symmetry_Int_Tables_number 167
_symmetry_space_group_name_Hall '-R 3 2"c'
loop_
_atom_site_label
_atom_site_type_symbol
_atom_site_fract_x
_atom_site_fract_y
_atom_site_fract_z
K1 K 0.0000 0.3736 0.2500
Ag1 Ag 0.0000 0.0000 0.0000
Cl1 Cl 0.0299 0.1872 0.4046
# - Density: 2.30 g cm⁻³
# - Formation energy (no corrections): -1245 meV/atom
# - Energy relative to the lowest polymorph listed for this composition: 0.00 eV/f.u.
# - Total magnetic moment: 0.2059 μB per atom


# KAg6Cl12 PBE relaxed
data_KAg6Cl12
_cell_length_a 14.5737
_cell_length_b 14.5737
_cell_length_c 8.2960
_cell_angle_alpha 90.00
_cell_angle_beta 90.00
_cell_angle_gamma 120.00
_symmetry_space_group_name_H-M 'R -3'
_symmetry_Int_Tables_number 148
_symmetry_space_group_name_Hall '-R 3'
loop_
_atom_site_label
_atom_site_type_symbol
_atom_site_fract_x
_atom_site_fract_y
_atom_site_fract_z
K1 K 0.0000 0.0000 0.0000
Ag1 Ag 0.0057 0.4996 0.2476
Cl1 Cl 0.0206 0.7985 0.8980
Cl2 Cl 0.0280 0.8145 0.3844
# - Density: 3.63 g cm⁻³
# - Formation energy (no corrections): -534 meV/atom
# - Total magnetic moment: 0.0000 μB per atom


# KAg5Cl8 PBE relaxed
data_KAg5Cl8
_cell_length_a 11.476
_cell_length_b 11.476
_cell_length_c 11.476
_cell_angle_alpha 90.00
_cell_angle_beta 90.00
_cell_angle_gamma 90.00
_symmetry_space_group_name_H-M 'F -4 3 m'
_symmetry_Int_Tables_number 216
_symmetry_space_group_name_Hall 'F -4 2 3'
loop_
_atom_site_label
_atom_site_type_symbol
_atom_site_fract_x
_atom_site_fract_y
_atom_site_fract_z
K1 K 0.000 0.000 0.000
Ag1 Ag 0.124 0.124 0.376
Ag2 Ag 0.250 0.250 0.750
Cl1 Cl 0.116 0.116 0.616
Cl2 Cl 0.144 0.144 0.144
# - Density: 3.79 g cm⁻³
# - Formation energy (no corrections): -569 meV/atom
# - Energy relative to the lowest polymorph listed for this composition: 0.55 eV/f.u.
# - Total magnetic moment: 0.1216 μB per atom


# K2AgCl PBE relaxed
data_K2AgCl
_cell_length_a 8.466
_cell_length_b 8.466
_cell_length_c 9.561
_cell_angle_alpha 90.00
_cell_angle_beta 90.00
_cell_angle_gamma 90.00
_symmetry_space_group_name_H-M 'I -4 2 d'
_symmetry_Int_Tables_number 122
_symmetry_space_group_name_Hall 'I -4 2bw'
loop_
_atom_site_label
_atom_site_type_symbol
_atom_site_fract_x
_atom_site_fract_y
_atom_site_fract_z
K1 K 0.213 0.250 0.125
Ag1 Ag 0.000 0.000 0.500
Cl1 Cl 0.000 0.000 0.000
# - Density: 2.15 g cm⁻³
# - Formation energy (no corrections): -819 meV/atom
# - Energy relative to the lowest polymorph listed for this composition: 0.28 eV/f.u.
# - Total magnetic moment: 0.0000 μB per atom


# KAg2Cl PBE relaxed
data_KAg2Cl
_cell_length_a 3.924
_cell_length_b 3.924
_cell_length_c 7.639
_cell_angle_alpha 90.00
_cell_angle_beta 90.00
_cell_angle_gamma 90.00
_symmetry_space_group_name_H-M 'P 4 m m'
_symmetry_Int_Tables_number 99
loop_
_symmetry_equiv_pos_as_xyz
'x,y,z'
'-y,x,z'
'-x,-y,z'
'y,-x,z'
'-x,y,z'
'y,x,z'
'x,-y,z'
'-y,-x,z'
loop_
_atom_site_label
_atom_site_type_symbol
_atom_site_fract_x
_atom_site_fract_y
_atom_site_fract_z
K1 K 0.000 0.000 0.000
Ag1 Ag 0.000 0.000 0.442
Ag2 Ag 0.500 0.500 0.497
Cl1 Cl 0.500 0.500 0.858
# - Density: 4.10 g cm⁻³
# - Formation energy (no corrections): -534 meV/atom
# - Energy relative to the lowest polymorph listed for this composition: 0.02 eV/f.u.
# - Total magnetic moment: 0.0000 μB per atom